{
  "formula": "Pu2ScGa6",
  "functional": "PBE",
  "state": "relaxed",
  "lattice_angstrom": [[-2.203, 2.252, 1.165], [1.544, -2.262, 7.294], [5.687, 3.476, 4.036]],
  "species": ["Pu", "Ga", "Ga", "Ga", "Ga", "Sc", "Ga", "Pu", "Ga"],
  "frac_coords": [[0.000, 0.333, 0.333], [0.500, 0.000, 0.673], [0.500, 0.327, 0.000], [0.500, 0.327, 0.673], [0.500, 0.000, 0.327], [0.000, 0.000, 0.000], [0.500, 0.673, 0.327], [0.000, 0.667, 0.667], [0.500, 0.673, 0.000]],
  "space_group": "P6/mmm, No. 191",
  "delta_e_f_ev_per_atom": -0.429,
  "total_energy_ev_per_atom": -6.335
}